DFT (PBE-GGA) results for crystalline K4Pu3AgSe8 at its relaxed geometry.

```
K4Pu3AgSe8
1.0
8.469 0.000 0.000
0.000 9.037 0.393
-4.234 -4.230 5.993
Se K Pu Ag
8 4 3 1
Cartesian
2.177 2.541 0.339
-2.057 2.267 6.047
4.234 4.386 3.095
0.000 0.422 3.291
4.234 0.485 3.250
2.057 2.267 6.047
6.292 2.541 0.339
0.000 4.322 3.136
2.117 -2.115 2.996
4.234 0.000 0.000
-2.117 -2.115 2.996
0.000 0.000 0.000
-2.117 2.404 3.193
4.234 4.519 0.197
2.117 2.404 3.193
0.000 4.519 0.197
```



DFT (PBE-GGA) results for crystalline KPu4Ag3Se12 at its relaxed geometry.

```
KPu4Ag3Se12
1.0
8.995 0.000 0.000
-2.998 8.481 0.000
-2.998 -4.240 7.345
Ag Se K Pu
3 12 1 4
Cartesian
2.998 -2.120 3.672
2.998 4.240 0.000
-2.998 2.120 3.672
-0.847 2.766 2.289
2.151 4.839 3.804
5.150 5.116 1.251
-2.151 -0.875 6.093
3.106 -2.197 6.307
3.845 1.474 5.056
-3.106 4.364 5.056
2.890 1.920 1.251
-0.108 6.437 1.037
0.108 2.320 6.093
0.847 -0.599 3.540
6.105 -0.124 2.289
0.000 0.000 0.000
-1.499 -2.120 3.672
-1.499 4.240 0.000
4.498 0.000 0.000
1.499 2.120 3.672
```



DFT (PBE-GGA) results for crystalline KPu2AgTe4 at its relaxed geometry.

```
KPu2AgTe4
1.0
4.520 0.000 0.000
-2.260 7.532 0.000
0.000 0.000 15.753
Te Ag Pu K
8 2 4 2
Cartesian
2.260 3.497 14.078
2.260 3.497 9.551
0.000 4.035 6.202
0.000 0.000 7.876
0.000 4.035 1.675
0.000 0.000 0.000
2.260 0.765 3.938
0.000 6.767 11.815
2.260 5.155 11.815
0.000 2.377 3.938
0.000 5.556 14.705
0.000 5.556 8.924
2.260 1.976 6.829
2.260 1.976 1.048
0.000 1.855 11.815
2.260 5.677 3.938
```



DFT (PBE-GGA) results for crystalline KPuAg2Te4 at its relaxed geometry.

```
KPuAg2Te4
1.0
-5.347 3.018 -2.293
-6.220 -1.795 2.774
-2.062 5.913 3.223
Ag Te Pu K
2 4 1 1
Cartesian
-3.663 1.880 1.649
-9.965 5.256 2.054
-4.073 4.512 0.620
-8.270 2.142 -0.550
-7.318 1.362 4.042
-7.596 6.257 3.294
-6.814 3.568 1.852
0.000 0.000 0.000
```



DFT (PBE-GGA) results for crystalline K2Rb4Ag at its relaxed geometry.

```
K2Rb4Ag
1.0
-3.085 -3.359 -6.408
-4.356 -10.581 2.816
-11.365 2.974 -0.914
Rb K Ag
8 4 2
Cartesian
-14.024 -5.580 0.022
-8.911 0.854 -0.985
-4.782 -5.386 -4.529
-14.283 -9.741 -2.499
-12.768 -1.603 -2.667
-9.895 -11.820 -3.522
-4.523 -1.225 -2.008
-6.038 -9.362 -1.840
-8.838 -3.694 -3.463
-5.886 -4.739 0.491
-12.919 -6.227 -4.997
-9.968 -7.272 -1.044
-0.771 -0.840 -1.602
-2.314 -2.519 -4.806
```

## Properties
Formation energy (eV/atom): 0.038
ΔE to the lowest computed polymorph (meV per atom): 0



DFT (PBE-GGA) results for crystalline K4Rb5Ag2 at its relaxed geometry.

```
K4Rb5Ag2
1.0
4.778 0.000 -0.643
-0.013 10.473 -0.096
-0.416 0.920 14.975
K Ag Rb
4 2 5
Cartesian
0.224 6.893 1.665
3.136 5.540 5.232
1.212 5.853 9.004
4.125 4.500 12.571
3.463 8.254 7.656
0.886 3.139 6.580
0.765 9.679 5.681
3.945 8.747 11.240
3.584 1.714 8.555
0.403 2.646 2.995
2.389 0.000 -0.322
```

## Properties
Formation energy (eV/atom): 0.071



DFT (PBE-GGA) results for crystalline K5Rb8Ag at its relaxed geometry.

```
K5Rb8Ag
1.0
-2.972 -9.643 4.927
10.458 0.141 -4.086
-0.551 7.998 7.862
Rb K Ag
8 5 1
Cartesian
9.218 4.245 1.271
4.494 4.604 3.979
1.753 -5.234 4.646
0.258 0.064 6.463
6.712 0.564 -1.312
7.654 1.917 5.588
7.365 -2.441 2.316
3.717 0.051 2.844
4.548 -1.344 7.095
-0.193 -2.167 1.891
-2.697 -7.122 6.297
-1.218 -2.158 11.135
3.743 -4.751 0.420
6.825 1.694 2.098
```

## Properties
Formation energy (eV/atom): 0.044



DFT (PBE-GGA) results for crystalline K6RbAg at its relaxed geometry.

```
K6RbAg
1.0
-2.006 -0.899 -4.609
-7.384 -5.346 4.258
-4.868 8.796 0.403
Ag K Rb
1 6 1
Cartesian
-4.976 8.186 0.569
-8.083 -4.084 1.487
-9.128 4.086 3.176
-2.610 2.251 0.697
-3.493 -1.710 -0.974
-11.430 0.525 2.044
-6.467 -0.191 2.853
-6.833 2.941 -0.428
```

## Properties
Formation energy (eV/atom): 0.051



DFT (PBE-GGA) results for crystalline KRbAg2 at its relaxed geometry.

```
KRbAg2
1.0
4.955 0.000 0.000
2.478 4.291 0.000
2.478 1.430 8.549
Rb Ag K
1 2 1
Cartesian
7.433 4.291 8.514
2.478 1.430 6.224
2.478 1.430 2.326
4.955 2.861 4.310
```

## Properties
Formation energy (eV/atom): 0.154
ΔE to the lowest computed polymorph (meV per atom): 133



DFT (PBE-GGA) results for crystalline K10Rb6Ag at its relaxed geometry.

```
K10Rb6Ag
1.0
-5.861 -6.124 1.655
8.233 -5.589 8.480
-8.396 9.144 4.100
Rb Ag K
6 1 10
Cartesian
1.832 -3.759 3.802
-9.441 0.889 3.703
-4.816 2.131 2.051
-1.557 0.609 7.962
-4.467 -3.178 6.272
0.540 -7.953 6.332
-2.931 -3.062 0.827
4.936 -5.954 7.066
-8.085 5.582 3.637
-4.479 -1.762 11.079
-5.784 1.171 6.387
-2.565 -5.758 3.068
2.690 -0.678 7.020
-6.172 -2.562 2.118
-2.853 4.233 5.560
-1.546 -0.807 3.156
-0.241 -3.740 7.847
```

## Properties
Formation energy (eV/atom): 0.043



DFT (PBE-GGA) results for crystalline K5Rb4Ag at its relaxed geometry.

```
K5Rb4Ag
1.0
6.471 0.000 2.242
3.236 10.306 1.121
-0.137 0.000 10.859
K Rb Ag
5 4 1
Cartesian
8.581 10.306 6.591
0.975 0.000 7.625
3.092 6.886 11.977
3.229 0.000 1.118
6.465 3.420 2.239
2.138 3.334 4.269
4.183 3.334 8.827
5.374 6.972 5.390
7.419 6.972 9.948
6.465 0.000 2.239
```

## Properties
Formation energy (eV/atom): 0.026



DFT (PBE-GGA) results for crystalline K4Rb2Ag at its relaxed geometry.

```
K4Rb2Ag
1.0
7.110 0.000 2.371
3.555 11.072 1.186
0.052 0.000 11.689
K Ag Rb
8 2 4
Cartesian
3.922 8.141 11.929
6.794 8.141 3.316
3.922 2.931 11.929
8.089 10.076 11.279
2.627 0.996 3.966
0.979 0.996 8.908
9.737 10.076 6.337
6.794 2.931 3.316
5.332 0.000 1.778
1.777 0.000 0.593
2.581 5.536 4.104
5.358 7.995 7.623
8.135 5.536 11.141
5.358 3.077 7.623
```

## Properties
Formation energy (eV/atom): 0.025
ΔE to the lowest computed polymorph (meV per atom): 0



no.,total energy (eV per atom)
1,-6.111
2,-6.165
3,-6.546
4,-4.592
5,-1.236
6,-1.286
7,-1.104
8,-1.249
9,-1.788
10,-1.112
11,-1.195
12,-1.286